# 1
The following is a PBEsol calculation of an optimized crystal structure of Zn2CuHg, from Alexandria.

a b c (Å): 3.153 3.413 5.620
angles (deg): 90.00 90.00 90.00
Element x y z (fractional)
Zn1 0.000 0.000 0.000
Zn2 0.500 0.500 0.238
Cu1 0.000 0.000 0.446
Hg1 0.500 0.500 0.721

# 2
The following is a PBEsol calculation of an optimized crystal structure of Zn2CuHg, from Alexandria.

a b c (Å): 3.906 3.906 3.918
angles (deg): 90.00 90.00 90.00
Element x y z (fractional)
Zn1 0.000 0.500 0.000
Zn2 0.500 0.000 0.000
Cu1 0.000 0.000 0.500
Hg1 0.500 0.500 0.500

Number 1: formation energy from the elements 0.2 eV/f.u.. Number 2: formation energy from the elements 0.3 eV/f.u..